(1)
A crystal of Sm6Ge3Se14 relaxed with PBEsol, computed with meta-GGA SCAN.

Computed properties:
E   -639.33 eV/cell
Volume   559 Å³ per cell

Lattice parameters (Å, degrees): 10.4126 10.4126 5.9577 90.00 90.00 120.00
Space group P3 (No. 143)
Symmetry-distinct sites (fractional):
Sm 0.0243 0.5613 0.0000
Sm 0.3086 0.1058 0.4955
Ge 0.0000 0.0000 0.9121
Ge 0.3333 0.6667 0.4182
Ge 0.6667 0.3333 0.7643
Se 0.0000 0.0000 0.3031
Se 0.0857 0.8473 0.7486
Se 0.1806 0.4283 0.2533
Se 0.3333 0.6667 0.8087
Se 0.4064 0.1673 0.0120
Se 0.5040 0.4301 0.5197

(2)
A crystal of SnGeSe2 relaxed with PBEsol, computed with meta-GGA SCAN.

Computed properties:
E   -192.50 eV/cell
Volume   192 Å³ per cell

Lattice parameters (Å, degrees): 3.9843 4.3516 11.0475 90.00 90.00 90.00
Space group Pmc2_1 (No. 26)
Symmetry-distinct sites (fractional):
Sn 0.0000 0.1560 0.0000
Ge 0.5000 0.3654 0.2305
Se 0.0000 0.2500 0.7464
Se 0.5000 0.2767 0.4567

(3)
A crystal of SnGe4Te4Se relaxed with PBEsol, computed with meta-GGA SCAN.

Computed properties:
E   -847.16 eV/cell
Volume   785 Å³ per cell

Lattice parameters (Å, degrees): 4.1683 4.1683 52.1898 90.00 90.00 120.00
Space group R3m (No. 160, hexagonal axes)
Symmetry-distinct sites (fractional):
Sn 0.0000 0.0000 0.0000
Ge 0.0000 0.0000 0.2039
Ge 0.0000 0.0000 0.4046
Ge 0.0000 0.0000 0.6037
Ge 0.0000 0.0000 0.8042
Te 0.0000 0.0000 0.1084
Te 0.0000 0.0000 0.5081
Te 0.0000 0.0000 0.7089
Te 0.0000 0.0000 0.9079
Se 0.0000 0.0000 0.3044

(4)
A crystal of Sn4GeTe4Se relaxed with PBEsol, computed with meta-GGA SCAN.

Computed properties:
E   -1001.20 eV/cell
Volume   872 Å³ per cell

Lattice parameters (Å, degrees): 4.3370 4.3370 53.5044 90.00 90.00 120.00
Space group R3m (No. 160, hexagonal axes)
Symmetry-distinct sites (fractional):
Sn 0.0000 0.0000 0.0000
Sn 0.0000 0.0000 0.1929
Sn 0.0000 0.0000 0.4036
Sn 0.0000 0.0000 0.5965
Ge 0.0000 0.0000 0.7939
Te 0.0000 0.0000 0.2963
Te 0.0000 0.0000 0.4890
Te 0.0000 0.0000 0.6997
Te 0.0000 0.0000 0.8927
Se 0.0000 0.0000 0.0982

(5)
A crystal of SrGeSe3 relaxed with PBEsol, computed with meta-GGA SCAN.

Computed properties:
E   -99.79 eV/cell
Volume   171 Å³ per cell

Lattice parameters (Å, degrees): 5.5513 5.5513 5.5513 90.00 90.00 90.00
Space group Pm-3m (No. 221)
Symmetry-distinct sites (fractional):
Sr 0.0000 0.0000 0.0000
Ge 0.5000 0.5000 0.5000
Se 0.0000 0.0000 0.5000

(6)
A crystal of GeTeSe2 relaxed with PBEsol, computed with meta-GGA SCAN.

Computed properties:
E above lowest polymorph   0.322 eV per atom
E   -380.41 eV/cell
Volume   339 Å³ per cell

Lattice parameters (Å, degrees): 6.9699 6.9699 6.9699 90.00 90.00 90.00
Space group Fm-3m (No. 225)
Symmetry-distinct sites (fractional):
Ge 0.0000 0.0000 0.0000
Te 0.0000 0.0000 0.5000
Se 0.2500 0.2500 0.2500